# SnBP3

SnBP3 at its PBEsol-relaxed geometry (SCAN, Alexandria via LeMat-Bulk).

Calculated values
The energy of formation is 2.172 eV per atom. For the density of states at the Fermi level, the calculation gives 0.943 states/eV per atom. The volume comes out at 24.6 Å³ per atom. The calculation puts the magnetic moment at 0.000 μB/atom.

a b c (Å): 4.9727 4.9727 4.9727
angles (deg): 90.00 90.00 90.00
Space group Pm-3m (No. 221)
Inequivalent atoms, fractional coordinates:
Sn1 0.0000 0.0000 0.0000 (multiplicity 1)
B1 0.5000 0.5000 0.5000 (multiplicity 1)
P1 0.0000 0.0000 0.5000 (multiplicity 3)

# NbSiRu2

NbSiRu2 at its PBEsol-relaxed geometry (SCAN, Alexandria via LeMat-Bulk).

Calculated values
For the density of states at the Fermi level, the calculation gives 0.774 states/eV per atom. The volume comes out at 14.0 Å³ per atom. The value obtained for the formation energy from raw total energies is -0.493 eV per atom. The calculation puts the magnetic moment at 0.193 μB/atom.

a b c (Å): 6.0750 6.0750 6.0750
angles (deg): 90.00 90.00 90.00
Space group Fm-3m (No. 225)
Inequivalent atoms, fractional coordinates:
Nb1 0.0000 0.0000 0.0000 (multiplicity 4)
Si1 0.0000 0.0000 0.5000 (multiplicity 4)
Ru1 0.2500 0.2500 0.2500 (multiplicity 8)

# LaMgP2Cl

LaMgP2Cl at its PBEsol-relaxed geometry (SCAN, Alexandria via LeMat-Bulk).

Calculated values
For the density of states at the Fermi level, the calculation gives 0.453 states/eV per atom. The volume comes out at 30.8 Å³ per atom. The value obtained for the formation energy from raw total energies is -0.138 eV per atom. The calculation puts the magnetic moment at 0.000 μB/atom.

a b c (Å): 5.3955 5.3955 5.2954
angles (deg): 90.00 90.00 90.00
Space group P4/mmm (No. 123)
Inequivalent atoms, fractional coordinates:
La1 0.0000 0.0000 0.0000 (multiplicity 1)
Mg1 0.5000 0.5000 0.5000 (multiplicity 1)
P1 0.0000 0.5000 0.0000 (multiplicity 2)
Cl1 0.0000 0.0000 0.5000 (multiplicity 1)

# ZrNbNi3

ZrNbNi3 at its PBEsol-relaxed geometry (SCAN, Alexandria via LeMat-Bulk).

Calculated values
The energy of formation is 1.147 eV per atom. For the density of states at the Fermi level, the calculation gives 0.750 states/eV per atom. The volume comes out at 16.9 Å³ per atom. The calculation puts the magnetic moment at 0.372 μB/atom.

a b c (Å): 4.3875 4.3875 4.3875
angles (deg): 90.00 90.00 90.00
Space group Pm-3m (No. 221)
Inequivalent atoms, fractional coordinates:
Zr1 0.0000 0.0000 0.0000 (multiplicity 1)
Nb1 0.5000 0.5000 0.5000 (multiplicity 1)
Ni1 0.0000 0.0000 0.5000 (multiplicity 3)